DFT (GGA-PBE) results for an optimized crystal structure of Zr2IrPt2.

It has space group P4/mbm (No. 127), with a = 7.5340 Å, b = 7.5340 Å, c = 3.3559 Å, α = 90.00°, β = 90.00° and γ = 90.00°. The inequivalent atoms are Zr at (0.1677, 0.3323, 0.0000), Ir at (0.0000, 0.0000, 0.0000) and Pt at (0.1310, 0.6310, 0.5000).

The energy above the most stable polymorph in this dataset comes out at 0.233 eV/atom. The calculation puts the energy of formation from the pure elements at -0.57 eV/atom.

DFT (GGA-PBE) results for an optimized crystal structure of ZrIr2Pt.

It has space group Pmm2 (No. 25), with a = 2.8867 Å, b = 3.9651 Å, c = 5.7076 Å, α = 90.00°, β = 90.00° and γ = 90.00°. The inequivalent atoms are Zr at (0.0000, 0.0000, 0.0000), Ir at (0.0000, 0.0000, 0.4839), Ir at (0.5000, 0.5000, 0.2697) and Pt at (0.5000, 0.5000, 0.7363).

The calculation puts the energy of formation from the pure elements at -0.50 eV/atom.

DFT (GGA-PBE) results for an optimized crystal structure of ZrIr2Pt.

It has space group Cm (No. 8), with a = 9.3797 Å, b = 2.9479 Å, c = 4.8344 Å, α = 90.00°, β = 100.74° and γ = 90.00°. The inequivalent atoms are Zr at (0.0000, 0.0000, 0.0000), Ir at (0.2545, 0.5000, 0.2802), Ir at (0.4958, 0.0000, 0.4843) and Pt at (0.2486, 0.0000, 0.7525).

The calculation puts the energy of formation from the pure elements at -0.43 eV/atom.

Question: What is the energy of formation from the pure elements in the first record?
Answer: -0.57 eV/atom

Question: What is the formula in the third record?
Answer: ZrIr2Pt

Please write out number 2 again, unchanged.
DFT (GGA-PBE) results for an optimized crystal structure of ZrIr2Pt.

It has space group Pmm2 (No. 25), with a = 2.8867 Å, b = 3.9651 Å, c = 5.7076 Å, α = 90.00°, β = 90.00° and γ = 90.00°. The inequivalent atoms are Zr at (0.0000, 0.0000, 0.0000), Ir at (0.0000, 0.0000, 0.4839), Ir at (0.5000, 0.5000, 0.2697) and Pt at (0.5000, 0.5000, 0.7363).

The calculation puts the energy of formation from the pure elements at -0.50 eV/atom.